Below is Nd7SiCl12 after structural relaxation, with properties calculated at the GGA-PBE level.

Unit cell a=9.9673 b=9.1316 c=9.1316 alpha=107.54 beta=111.34 gamma=111.34
Closest atoms and distances in Å follow each position.
Atoms (fractional coordinates):
Cl 0.3110 0.3887 0.5333  3 Nd 2.85-2.97
Cl 0.3836 0.2181 0.9168  3 Nd 2.80-2.92
Cl 0.8345 0.3014 0.2181  3 Nd 2.80-2.92
Cl 0.9223 0.1446 0.6113  3 Nd 2.85-2.97
Cl 0.0777 0.8554 0.3887  3 Nd 2.85-2.97
Cl 0.6890 0.6113 0.4667  3 Nd 2.85-2.97
Cl 0.7777 0.4667 0.8554  3 Nd 2.85-2.97
Cl 0.6164 0.7819 0.0832  3 Nd 2.80-2.92
Cl 0.4668 0.0832 0.3014  3 Nd 2.80-2.92
Cl 0.1655 0.6986 0.7819  3 Nd 2.80-2.92
Cl 0.5332 0.9168 0.6986  3 Nd 2.80-2.92
Cl 0.2223 0.5333 0.1446  3 Nd 2.85-2.97
Nd 0.8874 0.2172 0.9168  1 Si 2.77, 5 Cl 2.85-2.97
Nd 0.1126 0.7828 0.0832  1 Si 2.77, 5 Cl 2.85-2.97
Nd 0.9705 0.0832 0.3004  1 Si 2.77, 5 Cl 2.85-2.97
Nd 0.6701 0.6996 0.7828  1 Si 2.77, 5 Cl 2.85-2.97
Nd 0.3299 0.3004 0.2172  1 Si 2.77, 5 Cl 2.85-2.97
Nd 0.5000 0.0000 0.0000  6 Cl 2.80
Nd 0.0295 0.9168 0.6996  1 Si 2.77, 5 Cl 2.85-2.97
Si 0.0000 0.0000 0.0000  6 Nd 2.77

Computed properties:
As for the raw formation energy: -1.94 eV per atom. As for the electronic total energy: -99.853 eV/cell.

Below is Nd4Si2Cl5 after structural relaxation, with properties calculated at the GGA-PBE level.

Unit cell a=4.2074 b=7.7961 c=10.8153 alpha=111.13 beta=101.21 gamma=90.00
Closest atoms and distances in Å follow each position.
Atoms (fractional coordinates):
Cl 0.8176 0.5754 0.6353  3 Nd 2.92-3.08
Cl 0.5000 0.0000 0.0000  4 Nd 2.98
Cl 0.1824 0.9401 0.3647  3 Nd 2.92-3.08
Cl 0.8176 0.0599 0.6353  3 Nd 2.92-3.08
Cl 0.1824 0.4246 0.3647  3 Nd 2.92-3.08
Nd 0.6941 0.6941 0.3881  1 Si 2.70, 4 Cl 2.92
Nd 0.0000 0.7299 0.0000  2 Cl 2.98, 4 Si 2.98
Nd 0.0000 0.2701 0.0000  2 Cl 2.98, 4 Si 2.98
Nd 0.3059 0.3059 0.6119  1 Si 2.70, 4 Cl 2.92
Si 0.5570 0.5570 0.1140  1 Si 2.25
Si 0.4430 0.4430 0.8860  1 Si 2.25

Computed properties:
As for the raw formation energy: -1.45 eV per atom. As for the electronic total energy: -55.077 eV/cell.

Below is Nd6SiCl8 after structural relaxation, with properties calculated at the GGA-PBE level.

Unit cell a=7.1676 b=7.1676 c=11.0207 alpha=71.02 beta=71.02 gamma=60.00
Closest atoms and distances in Å follow each position.
Atoms (fractional coordinates):
Nd 0.9463 0.6360 0.1610  1 Si 2.77, 5 Cl 2.84-3.01
Nd 0.0537 0.3640 0.8390  1 Si 2.77, 5 Cl 2.84-3.01
Nd 0.3640 0.7432 0.8390  1 Si 2.77, 5 Cl 2.84-3.01
Nd 0.2568 0.9463 0.1610  1 Si 2.77, 5 Cl 2.84-3.01
Nd 0.7432 0.0537 0.8390  1 Si 2.77, 5 Cl 2.84-3.01
Nd 0.6360 0.2568 0.1610  1 Si 2.77, 5 Cl 2.84-3.01
Si 0.0000 0.0000 0.0000  6 Nd 2.77
Cl 0.4439 0.1069 0.6791  3 Nd 2.84-3.01
Cl 0.5561 0.8931 0.3209  3 Nd 2.84-3.01
Cl 0.2300 0.5561 0.3209  3 Nd 2.84-3.01
Cl 0.7700 0.4439 0.6791  3 Nd 2.84-3.01
Cl 0.1069 0.7700 0.6791  3 Nd 2.84-3.01
Cl 0.8931 0.2300 0.3209  3 Nd 2.84-3.01
Cl 0.6667 0.6667 0.0000  6 Nd 2.97
Cl 0.3333 0.3333 0.0000  6 Nd 2.97

Computed properties:
As for the raw formation energy: -1.73 eV per atom. As for the electronic total energy: -74.746 eV/cell.

Below is Nd3Si2Cl after structural relaxation, with properties calculated at the GGA-PBE level.

Unit cell a=4.2237 b=4.2237 c=9.4085 alpha=102.97 beta=102.97 gamma=90.00
Closest atoms and distances in Å follow each position.
Atoms (fractional coordinates):
Si 0.6621 0.6621 0.3241  6 Nd 2.89-3.04
Si 0.3379 0.3379 0.6759  6 Nd 2.89-3.04
Nd 0.1676 0.1676 0.3352  5 Si 2.99-3.04, 1 Cl 2.99
Nd 0.8324 0.8324 0.6648  5 Si 2.99-3.04, 1 Cl 2.99
Nd 0.5000 0.5000 0.0000  2 Si 2.89, 4 Cl 2.99
Cl 0.0000 0.0000 0.0000  6 Nd 2.99

Computed properties:
As for the raw formation energy: -0.95 eV per atom. As for the electronic total energy: -32.721 eV/cell.

Below is Nd4SiCl5 after structural relaxation, with properties calculated at the GGA-PBE level.

Unit cell a=4.1065 b=8.4247 c=9.3670 alpha=104.33 beta=102.66 gamma=90.00
Closest atoms and distances in Å follow each position.
Atoms (fractional coordinates):
Nd 0.3443 0.9062 0.6887  1 Si 2.75, 4 Cl 2.84-2.91
Nd 0.0000 0.2328 0.0001  2 Si 2.84, 4 Cl 2.93-3.05
Nd 0.0000 0.7672 0.9999  2 Si 2.84, 4 Cl 2.93-3.05
Nd 0.6557 0.0938 0.3113  1 Si 2.75, 4 Cl 2.84-2.91
Cl 0.8293 0.1413 0.6586  4 Nd 2.91-3.10
Cl 0.1707 0.8587 0.3414  4 Nd 2.91-3.10
Cl 0.8343 0.6687 0.6686  3 Nd 2.84-2.93
Cl 0.1657 0.3313 0.3314  3 Nd 2.84-2.93
Cl 0.5000 0.5000 0.0000  4 Nd 3.05
Si 0.5000 0.0000 0.0000  6 Nd 2.75-2.84

Computed properties:
As for the raw formation energy: -1.75 eV per atom. As for the electronic total energy: -51.186 eV/cell.

Below is Nd3SiCl3 after structural relaxation, with properties calculated at the GGA-PBE level.

Unit cell a=10.1612 b=10.1612 c=10.1612 alpha=109.47 beta=109.47 gamma=109.47
Closest atoms and distances in Å follow each position.
Atoms (fractional coordinates):
Nd 0.5069 0.4931 0.7500  2 Si 2.85, 4 Cl 2.94-3.02
Nd 0.7431 0.2569 0.7500  2 Si 2.85, 4 Cl 2.94-3.02
Nd 0.5069 0.0139 0.2569  2 Si 2.85, 4 Cl 2.94-3.02
Nd 0.2500 0.2431 0.2569  2 Si 2.85, 4 Cl 2.94-3.02
Nd 0.9931 0.2431 0.4861  2 Si 2.85, 4 Cl 2.94-3.02
Nd 0.5139 0.2569 0.0069  2 Si 2.85, 4 Cl 2.94-3.02
Nd 0.7431 0.4861 0.4931  2 Si 2.85, 4 Cl 2.94-3.02
Nd 0.7569 0.0069 0.0139  2 Si 2.85, 4 Cl 2.94-3.02
Nd 0.7569 0.7500 0.2431  2 Si 2.85, 4 Cl 2.94-3.02
Nd 0.2500 0.0069 0.4931  2 Si 2.85, 4 Cl 2.94-3.02
Nd 0.9861 0.4931 0.2431  2 Si 2.85, 4 Cl 2.94-3.02
Nd 0.9931 0.7500 0.0069  2 Si 2.85, 4 Cl 2.94-3.02
Si 0.5000 0.2500 0.5000  6 Nd 2.85
Si 0.0000 0.0000 0.2500  6 Nd 2.85
Si 0.7500 0.5000 0.0000  6 Nd 2.85
Si 0.7500 0.2500 0.2500  6 Nd 2.85
Cl 0.4993 0.9987 0.7493  4 Nd 2.94-3.02
Cl 0.7500 0.7507 0.7493  4 Nd 2.94-3.02
Cl 0.2493 0.9993 0.9987  4 Nd 2.94-3.02
Cl 0.2493 0.2500 0.7507  4 Nd 2.94-3.02
Cl 0.2507 0.5013 0.5007  4 Nd 2.94-3.02
Cl 0.4987 0.7493 0.9993  4 Nd 2.94-3.02
Cl 0.0007 0.7507 0.5013  4 Nd 2.94-3.02
Cl 0.7500 0.9993 0.5007  4 Nd 2.94-3.02
Cl 0.0007 0.2500 0.9993  4 Nd 2.94-3.02
Cl 0.4993 0.5007 0.2500  4 Nd 2.94-3.02
Cl 0.2507 0.7493 0.2500  4 Nd 2.94-3.02
Cl 0.0013 0.5007 0.7507  4 Nd 2.94-3.02

Computed properties:
As for the raw formation energy: -1.63 eV per atom. As for the electronic total energy: -146.592 eV/cell.

Below is Nd3SiCl2 after structural relaxation, with properties calculated at the GGA-PBE level.

Unit cell a=4.2963 b=5.8328 c=7.1664 alpha=114.01 beta=107.44 gamma=90.00
Closest atoms and distances in Å follow each position.
Atoms (fractional coordinates):
Cl 0.1653 0.1653 0.8306  6 Nd 2.92-3.10
Cl 0.8347 0.8347 0.1694  6 Nd 2.92-3.10
Nd 0.1540 0.6540 0.8080  2 Si 2.87, 4 Cl 2.92-3.10
Nd 0.8460 0.3460 0.1920  2 Si 2.87, 4 Cl 2.92-3.10
Nd 0.5000 0.0000 0.5000  2 Si 2.92, 4 Cl 2.97
Si 0.5000 0.5000 0.5000  6 Nd 2.87-2.92

Computed properties:
For the offset from the most stable computed form, the calculation gives 6 meV per atom. As for the raw formation energy: -1.26 eV per atom. As for the electronic total energy: -30.975 eV/cell.

Below is Nd6SiTc2Cl3 after structural relaxation, with properties calculated at the GGA-PBE level.

Unit cell a=7.0454 b=7.0454 c=7.9919 alpha=99.08 beta=99.08 gamma=118.46
Closest atoms and distances in Å follow each position.
Atoms (fractional coordinates):
Nd 0.5748 0.9272 0.8050  2 Tc 2.78-3.03, 1 Si 2.91
Nd 0.0728 0.4252 0.1950  2 Tc 2.78-3.03, 1 Si 2.91
Nd 0.9272 0.5748 0.8050  2 Tc 2.78-3.03, 1 Si 2.91
Nd 0.7562 0.7562 0.2391  2 Tc 2.74, 1 Si 2.97
Nd 0.4252 0.0728 0.1950  2 Tc 2.78-3.03, 1 Si 2.91
Nd 0.2438 0.2438 0.7609  2 Tc 2.74, 1 Si 2.97
Si 0.0000 0.0000 0.0000  6 Nd 2.91-2.97
Cl 0.5000 0.5000 0.5000  6 Nd 3.18-3.32
Cl 0.1741 0.8259 0.5000  6 Nd 3.10-3.44
Cl 0.8259 0.1741 0.5000  6 Nd 3.10-3.44
Tc 0.3660 0.6340 0.0000  6 Nd 2.74-3.03
Tc 0.6340 0.3660 0.0000  6 Nd 2.74-3.03

Computed properties:
As for the raw formation energy: -0.76 eV per atom. As for the electronic total energy: -69.478 eV/cell.

Below is Nd4SiTeCl2 after structural relaxation, with properties calculated at the GGA-PBE level.

Unit cell a=4.3082 b=7.1706 c=7.7221 alpha=69.77 beta=90.00 gamma=90.00
Closest atoms and distances in Å follow each position.
Atoms (fractional coordinates):
Nd 0.5000 0.2671 0.7165  2 Si 2.88, 3 Cl 2.95-3.19, 1 Te 3.18
Nd 0.0000 0.2511 0.2863  1 Si 2.82, 2 Cl 2.92
Nd 0.0000 0.7489 0.7137  1 Si 2.82, 2 Cl 2.92
Nd 0.5000 0.7329 0.2835  2 Si 2.88, 3 Cl 2.95-3.19, 1 Te 3.18
Cl 0.5000 0.0000 0.5000  6 Nd 2.92-2.95
Cl 0.0000 0.0000 0.0000  6 Nd 3.19-3.30
Te 0.5000 0.5000 0.0000  6 Nd 3.16-3.18
Si 0.0000 0.5000 0.5000  6 Nd 2.82-2.88

Computed properties:
As for the raw formation energy: -1.31 eV per atom. As for the electronic total energy: -41.806 eV/cell.

Below is NdSmCl4 after structural relaxation, with properties calculated at the GGA-PBE level.

Unit cell a=5.5479 b=5.5479 c=6.7585 alpha=114.23 beta=114.23 gamma=90.00
Closest atoms and distances in Å follow each position.
Atoms (fractional coordinates):
Cl 0.9889 0.4889 0.9779  2 Sm 2.78, 1 Nd 2.87
Cl 0.7577 0.7577 0.5153  2 Nd 2.78, 1 Sm 2.84
Cl 0.5111 0.0111 0.0221  2 Sm 2.78, 1 Nd 2.87
Cl 0.2423 0.2423 0.4847  2 Nd 2.78, 1 Sm 2.84
Sm 0.5000 0.5000 0.0000  6 Cl 2.78-2.84
Nd 0.2500 0.7500 0.5000  6 Cl 2.78-2.87

Computed properties:
As for the raw formation energy: -1.94 eV per atom. As for the electronic total energy: -28.522 eV/cell.

Below is NdSmCl after structural relaxation, with properties calculated at the GGA-PBE level.

Unit cell a=3.7784 b=3.7784 c=7.2589 alpha=90.00 beta=90.00 gamma=120.00
Closest atoms and distances in Å follow each position.
Atoms (fractional coordinates):
Nd 0.0000 0.0000 0.0248  3 Cl 3.15
Cl 0.6667 0.3333 0.3379  3 Sm 3.08, 3 Nd 3.15
Sm 0.3333 0.6667 0.6373  3 Cl 3.08

Computed properties:
For the offset from the most stable computed form, the calculation gives 0 meV per atom. As for the raw formation energy: -0.90 eV per atom. As for the electronic total energy: -14.040 eV/cell.